! GGA-PBE BPPtO, optimized geometry; values from VASP
&SYSTEM
  ibrav = 0, nat = 8, ntyp = 4
/
ATOMIC_SPECIES
B 10.81 B.upf
O 16.00 O.upf
P 30.97 P.upf
Pt 195.08 Pt.upf
ATOMIC_POSITIONS crystal
B 0.500 0.500 0.061
B 0.000 0.000 0.939
O 0.500 0.000 0.000
O 0.000 0.500 0.000
P 0.500 0.500 0.304
P 0.000 0.000 0.696
Pt 0.500 0.000 0.500
Pt 0.000 0.500 0.500
CELL_PARAMETERS angstrom
-2.084 -0.678 2.878
1.302 -3.372 0.148
5.886 2.485 4.848
! ρ	8.00	Mg/m³
! symmetry	P4/nmm (129)
! polymorph energy (0 for the lowest one)	2.90	eV per formula unit
! M_tot	0.00	μB/f.u.

***

! GGA-PBE TaCoBiPd, optimized geometry; values from VASP
&SYSTEM
  ibrav = 0, nat = 4, ntyp = 4
/
ATOMIC_SPECIES
Bi 208.98 Bi.upf
Co 58.93 Co.upf
Pd 106.42 Pd.upf
Ta 180.95 Ta.upf
ATOMIC_POSITIONS crystal
Bi 0.000 0.000 0.000
Co 0.750 0.750 0.750
Pd 0.250 0.250 0.250
Ta 0.500 0.500 0.500
CELL_PARAMETERS angstrom
-0.810 -3.787 -2.491
-0.308 -4.099 2.076
-4.073 -2.128 0.302
! ρ	13.36	Mg/m³
! symmetry	F-43m (216)
! polymorph energy (0 for the lowest one)	0.00	eV per formula unit
! M_tot	0.02	μB/f.u.

***

! GGA-PBE HfZn2Cu2, optimized geometry; values from VASP
&SYSTEM
  ibrav = 0, nat = 5, ntyp = 3
/
ATOMIC_SPECIES
Cu 63.55 Cu.upf
Hf 178.49 Hf.upf
Zn 65.41 Zn.upf
ATOMIC_POSITIONS crystal
Cu 0.603 0.603 0.206
Cu 0.397 0.397 0.794
Hf 0.000 0.000 0.000
Zn 0.750 0.250 0.500
Zn 0.250 0.750 0.500
CELL_PARAMETERS angstrom
-2.417 2.089 1.835
-2.331 -2.847 0.171
4.655 -1.200 3.799
! ρ	9.63	Mg/m³
! E_form	-0.065	eV/atom
! symmetry	I4/mmm (139)
! polymorph energy (0 for the lowest one)	0.00	eV per formula unit
! M_tot	0.00	μB/f.u.

***

! GGA-PBE Co3Te, optimized geometry; values from VASP
&SYSTEM
  ibrav = 0, nat = 4, ntyp = 2
/
ATOMIC_SPECIES
Co 58.93 Co.upf
Te 127.60 Te.upf
ATOMIC_POSITIONS crystal
Co 0.500 0.500 0.000
Co 0.750 0.250 0.500
Co 0.250 0.750 0.500
Te 0.000 0.000 0.000
CELL_PARAMETERS angstrom
3.726 2.313 -1.083
-0.182 4.028 2.038
-0.533 -4.180 1.629
! ρ	9.87	Mg/m³
! total energy	-23.28	eV per formula unit
! symmetry	I4/mmm (139)
! M_tot	0.00	μB/f.u.

***

! GGA-PBE BeCoBiAu, optimized geometry; values from VASP
&SYSTEM
  ibrav = 0, nat = 4, ntyp = 4
/
ATOMIC_SPECIES
Au 196.97 Au.upf
Be 9.01 Be.upf
Bi 208.98 Bi.upf
Co 58.93 Co.upf
ATOMIC_POSITIONS crystal
Au 0.500 0.500 0.500
Be 0.250 0.250 0.250
Bi 0.000 0.000 0.000
Co 0.750 0.750 0.750
CELL_PARAMETERS angstrom
0.000 3.194 3.194
3.194 0.000 3.194
3.194 3.194 0.000
! ρ	12.07	Mg/m³
! symmetry	F-43m (216)
! polymorph energy (0 for the lowest one)	0.00	eV per formula unit
! M_tot	0.02	μB/f.u.

***

! GGA-PBE NdDyAg6, optimized geometry; values from VASP
&SYSTEM
  ibrav = 0, nat = 8, ntyp = 3
/
ATOMIC_SPECIES
Ag 107.87 Ag.upf
Dy 162.50 Dy.upf
Nd 144.24 Nd.upf
ATOMIC_POSITIONS crystal
Ag 0.500 0.500 0.180
Ag 0.000 0.253 0.342
Ag 0.000 0.747 0.342
Ag 0.500 0.265 0.663
Ag 0.500 0.735 0.663
Ag 0.000 0.000 0.806
Dy 0.000 0.500 0.846
Nd 0.500 0.000 0.158
CELL_PARAMETERS angstrom
-1.320 -4.842 0.674
4.126 -1.738 -4.408
3.699 -0.498 3.659
! ρ	9.53	Mg/m³
! E_form	-0.247	eV/atom
! symmetry	Pmm2 (25)
! M_tot	0.00	μB/f.u.